Record 1
A plane-wave DFT calculation with PBE was carried out for a relaxed structure of RbGa3Se.

Cell lengths 5.973, 5.973, 5.973 Å; angles 90.00, 90.00, 90.00 degrees
Fractional positions:
Se  0.500  0.500  0.500
Rb  0.000  0.000  0.000
Ga  0.000  0.000  0.500
Ga  0.500  0.000  0.000
Ga  0.000  0.500  0.000

Output
- space group = No. 221

=====

Record 2
A plane-wave DFT calculation with PBE was carried out for a relaxed structure of RbGaSe2.

Cell lengths 3.961, 3.961, 8.500 Å; angles 90.00, 90.00, 120.00 degrees
Fractional positions:
Rb  0.333  0.667  0.450
Se  0.667  0.333  0.170
Se  0.333  0.667  0.839
Ga  0.000  0.000  0.996

Output
- space group = No. 156

=====

ΔE_f (raw)? In order: 1069.3, -619.0 meV/atom.
E_tot? In order: -8.186, -13.439 eV for the cell shown.
Magnetization? In order: 0.00, 0.00 μB per cell.